Density functional theory data (PBE) for an optimized crystal structure of Nd3MgAg3.

The space group is C2/m (No. 12) and the conventional cell measures 9.8394, 10.7538 and 7.1729 Å, with angles of 90.00, 92.28 and 90.00 degrees. The asymmetric unit holds Nd at (0.0000, 0.1677, 0.0000), Nd at (0.0000, 0.2697, 0.5000), Nd at (0.1427, 0.5000, 0.8720), Mg at (0.2304, 0.5000, 0.3586), Ag at (0.0866, 0.0000, 0.3398) and Ag at (0.2406, 0.2657, 0.2170).

The formation energy comes out at -0.117 eV/atom. Its density of states at the Fermi level is 5.9 states/eV/f.u. For the total magnetic moment, the calculation gives 0.000 μB per atom. For the density, the calculation gives 6.837 g/cm3.



Density functional theory data (PBE) for an optimized crystal structure of Er2Zn3In.

The space group is Imm2 (No. 44) and the conventional cell measures 3.6223, 4.5554 and 15.9090 Å, with angles of 90.00, 90.00 and 90.00 degrees. The asymmetric unit holds Er at (0.0000, 0.0000, 0.0000), Er at (0.0000, 0.5000, 0.2810), Zn at (0.0000, 0.0000, 0.4380), Zn at (0.0000, 0.5000, 0.6859), Zn at (0.0000, 0.5000, 0.8389) and In at (0.0000, 0.0000, 0.6031).

The formation energy comes out at -0.296 eV/atom. Its density of states at the Fermi level is 5.6 states/eV/f.u. For the total magnetic moment, the calculation gives 0.000 μB per atom. For the density, the calculation gives 8.167 g/cm3. The value obtained for the distance to the lowest polymorph of the same formula is 91.4 meV/atom.



Density functional theory data (PBE) for an optimized crystal structure of PrZn2BIr2.

The space group is P4/mmm (No. 123) and the conventional cell measures 4.1633, 4.1633 and 5.7277 Å, with angles of 90.00, 90.00 and 90.00 degrees. The asymmetric unit holds Pr at (0.0000, 0.0000, 0.0000), Zn at (0.5000, 0.5000, 0.2173), B at (0.0000, 0.0000, 0.5000) and Ir at (0.0000, 0.5000, 0.5000).

The formation energy comes out at -0.533 eV/atom. Its density of states at the Fermi level is 1.1 states/eV/f.u. For the total magnetic moment, the calculation gives 0.000 μB per atom. For the density, the calculation gives 11.156 g/cm3.



Density functional theory data (PBE) for an optimized crystal structure of VGa6Tc.

The space group is R-3m (No. 166, hexagonal axes) and the conventional cell measures 8.7823, 8.7823 and 5.9325 Å, with angles of 90.00, 90.00 and 120.00 degrees. The asymmetric unit holds V at (0.0000, 0.0000, 0.0000), Ga at (0.0059, 0.5030, 0.2639) and Tc at (0.0000, 0.0000, 0.5000).

The formation energy comes out at -0.016 eV/atom. Its density of states at the Fermi level is 1.8 states/eV/f.u. For the total magnetic moment, the calculation gives 0.000 μB per atom. For the density, the calculation gives 7.132 g/cm3.



Density functional theory data (PBE) for an optimized crystal structure of LiHfNi4.

The space group is F-43m (No. 216) and the conventional cell measures 6.7517, 6.7517 and 6.7517 Å, with angles of 90.00, 90.00 and 90.00 degrees. The asymmetric unit holds Li at (0.0000, 0.0000, 0.0000), Hf at (0.2500, 0.2500, 0.7500) and Ni at (0.1256, 0.1256, 0.3744).

The formation energy comes out at -0.359 eV/atom. Its density of states at the Fermi level is 7.4 states/eV/f.u. For the total magnetic moment, the calculation gives 0.000 μB per atom. For the density, the calculation gives 9.068 g/cm3.



Density functional theory data (PBE) for an optimized crystal structure of Hg2PbCl.

The space group is Cmmm (No. 65) and the conventional cell measures 5.8639, 11.3178 and 3.3901 Å, with angles of 90.00, 90.00 and 90.00 degrees. The asymmetric unit holds Hg at (0.2500, 0.2500, 0.0000), Pb at (0.0000, 0.0000, 0.5000) and Cl at (0.0000, 0.5000, 0.5000).

Its uncorrected formation energy is -91 kJ/mol of formula units. Its density of states at the Fermi level is 1.3 states/eV/f.u. For the total magnetic moment, the calculation gives 0.000 μB per atom. For the density, the calculation gives 9.504 g/cm3. The value obtained for the distance to the lowest polymorph of the same formula is 59.3 meV/atom.



Question: total magnetic moment of number 6 (Hg2PbCl)?
Answer: 0.000 μB per atom